Crystalline Tb2Re3B4 at its relaxed geometry. Source: the Alexandria database, functional PBE-GGA.

Lattice parameters (Å, degrees): 5.366 5.366 5.709 106.03 106.03 114.36
Element x y z (fractional)
Tb  0.661  0.661  0.322
Re  0.000  0.500  0.000
B  0.951  0.381  0.332
B  0.381  0.951  0.332
B  0.049  0.619  0.668
Re  0.000  0.000  0.000
Re  0.500  0.000  0.000
Tb  0.339  0.339  0.678
B  0.619  0.049  0.668

Calculated values
N(E_F) in states/eV/f.u.: 4.77
Crystal system: orthorhombic
ΔE_f in eV per atom: -0.01
Space-group type: Fmmm (69)

***

Crystalline UMnAl2 at its relaxed geometry. Source: the Alexandria database, functional PBE-GGA.

Lattice parameters (Å, degrees): 2.830 2.830 9.695 81.61 81.61 60.00
Each line ends with the local moment (μB).
Element x y z (fractional)
U  0.500  0.500  0.500  0.67
Al  0.739  0.739  0.783  -0.03
Mn  0.000  0.000  0.000  2.69
Al  0.261  0.261  0.217  -0.03

Calculated values
N(E_F) in states/eV/f.u.: 5.07
Crystal system: trigonal
ΔE_f in eV per atom: -0.03
Space-group type: R-3m (166)

***

Crystalline AlTe2H at its relaxed geometry. Source: the Alexandria database, functional PBE-GGA.

Lattice parameters (Å, degrees): 7.339 7.339 7.339 32.85 32.85 32.85
Element x y z (fractional)
Te  0.905  0.905  0.905
H  0.000  0.000  0.000
Te  0.095  0.095  0.095
Al  0.500  0.500  0.500

Calculated values
N(E_F) in states/eV/f.u.: 0.00
Crystal system: trigonal
ΔE to the lowest computed polymorph in eV/f.u.: 0.160
Space-group type: R-3m (166)

***

Crystalline CeNdTeAs at its relaxed geometry. Source: the Alexandria database, functional PBE-GGA.

Lattice parameters (Å, degrees): 4.334 4.334 7.716 73.69 73.69 60.00
Each line ends with the local moment (μB).
Element x y z (fractional)
As  0.251  0.251  0.248  -0.02
Nd  0.509  0.509  0.473  0.02
Ce  0.991  0.991  0.027  0.86
Te  0.749  0.749  0.752  -0.01

Calculated values
N(E_F) in states/eV/f.u.: 7.29
Crystal system: trigonal
Space-group type: R3m (160)
Formation energy without anion corrections in kJ/mol of atoms: -143

***

Crystalline AlV at its relaxed geometry. Source: the Alexandria database, functional PBE-GGA.

Lattice parameters (Å, degrees): 7.777 7.777 4.656 90.00 90.00 90.00
Element x y z (fractional)
Al  0.206  0.126  0.500
V  0.628  0.951  0.000
V  0.049  0.628  0.000
Al  0.706  0.626  0.000
V  0.372  0.049  0.000
V  0.872  0.549  0.500
V  0.549  0.128  0.500
Al  0.794  0.874  0.500
V  0.451  0.872  0.500
Al  0.874  0.206  0.500
Al  0.626  0.294  0.000
Al  0.126  0.794  0.500
V  0.951  0.372  0.000
Al  0.294  0.374  0.000
Al  0.374  0.706  0.000
V  0.128  0.451  0.500

Calculated values
N(E_F) in states/eV/f.u.: 1.14
Crystal system: tetragonal
ΔE_f in eV per atom: 0.21
Space-group type: I4/m (87)

***

Crystalline CeRe4Si2 at its relaxed geometry. Source: the Alexandria database, functional PBE-GGA.

Lattice parameters (Å, degrees): 7.301 7.301 4.075 90.00 90.00 146.96
Element x y z (fractional)
Ce  0.000  0.000  0.000
Si  0.413  0.587  0.500
Re  0.814  0.186  0.500
Re  0.695  0.305  0.000
Re  0.186  0.814  0.500
Re  0.305  0.695  0.000
Si  0.587  0.413  0.500

Calculated values
N(E_F) in states/eV/f.u.: 5.84
Crystal system: orthorhombic
Space-group type: Cmmm (65)
Formation energy without anion corrections in kJ/mol of atoms: -45

***

Crystalline La2Sm3Y6Th at its relaxed geometry. Source: the Alexandria database, functional PBE-GGA.

Lattice parameters (Å, degrees): 6.286 6.286 11.847 95.07 95.07 119.98
Element x y z (fractional)
Sm  0.833  0.167  0.500
Y  0.917  0.588  0.750
Th  0.000  0.000  0.000
Y  0.755  0.755  0.250
Y  0.245  0.245  0.750
Y  0.083  0.412  0.250
La  0.667  0.333  0.000
Sm  0.500  0.500  0.500
Y  0.588  0.917  0.750
La  0.333  0.667  0.000
Sm  0.167  0.833  0.500
Y  0.412  0.083  0.250

Calculated values
N(E_F) in states/eV/f.u.: 15.91
Crystal system: monoclinic
ΔE_f in eV per atom: 0.02
Space-group type: C2/m (12)

***

Crystalline Si3Sb at its relaxed geometry. Source: the Alexandria database, functional PBE-GGA.

Lattice parameters (Å, degrees): 3.772 4.113 5.293 90.00 90.00 90.00
Element x y z (fractional)
Si  0.000  0.500  0.423
Si  0.500  0.500  0.727
Sb  0.000  0.000  0.063
Si  0.500  0.000  0.454

Calculated values
N(E_F) in states/eV/f.u.: 1.22
Crystal system: orthorhombic
ΔE to the lowest computed polymorph in eV/f.u.: 0.498
Space-group type: Pmm2 (25)
Formation energy without anion corrections in kJ/mol of atoms: 45